1.
Material: Nd2SmHg6
Method: DFT, GGA-PBE
State: relaxed

Lattice parameters (Å, degrees): 3.483 8.741 8.741 120.00 90.00 90.00
Each line ends with the local moment (μB).
Sites, in units of the cell vectors:
Hg  0.500  0.668  0.000  0.00
Hg  0.500  0.332  0.000  0.00
Hg  0.500  0.332  0.332  0.00
Hg  0.500  0.668  0.668  0.00
Hg  0.500  0.000  0.332  0.00
Hg  0.500  0.000  0.668  0.00
Nd  0.000  0.667  0.333  0.10
Sm  0.000  0.000  0.000  0.07
Nd  0.000  0.333  0.667  0.10

Results
Magnetic moment ... 0.0581 μB/atom
Formation energy from the elements ... -427 meV/atom
Fermi-level density of states ... 6.6 states/eV/f.u.
Excess energy over the best structure of this formula in the dataset ... 0 meV per atom

***

2.
Material: CsSrH2Br
Method: DFT, GGA-PBE
State: relaxed

Lattice parameters (Å, degrees): 4.993 4.993 6.120 90.00 90.00 90.00
Sites, in units of the cell vectors:
H  0.000  0.500  0.000
Sr  0.000  0.000  0.000
Cs  0.500  0.500  0.500
H  0.500  0.000  0.000
Br  0.000  0.000  0.500

Results
Magnetic moment ... 0.0000 μB/atom
Fermi-level density of states ... 0.0 states/eV/f.u.
Total DFT energy (no corrections) ... -3.070 eV/atom

***

3.
Material: La2BePdPt6
Method: DFT, GGA-PBE
State: relaxed

Lattice parameters (Å, degrees): 5.712 7.674 7.674 43.69 68.16 90.00
Sites, in units of the cell vectors:
Pt  0.217  0.263  0.046
La  0.285  0.715  0.431
Pt  0.737  0.783  0.527
Be  0.500  0.500  0.000
La  0.715  0.285  0.569
Pt  0.263  0.217  0.473
Pt  0.783  0.737  0.954
Pd  0.000  0.000  0.000
Pt  0.737  0.263  0.046
Pt  0.263  0.737  0.954

Results
Magnetic moment ... 0.0000 μB/atom
Formation energy from the elements ... -733 meV/atom
Fermi-level density of states ... 5.7 states/eV/f.u.

***

4.
Material: LiLaBe2
Method: DFT, GGA-PBE
State: relaxed

Lattice parameters (Å, degrees): 4.885 4.929 3.223 90.00 90.00 90.00
Sites, in units of the cell vectors:
Be  0.500  0.500  0.000
Be  0.000  0.000  0.000
Li  0.000  0.500  0.500
La  0.500  0.000  0.500

Results
Magnetic moment ... 0.0000 μB/atom
Formation energy from the elements ... 506 meV/atom
Fermi-level density of states ... 3.4 states/eV/f.u.
Excess energy over the best structure of this formula in the dataset ... 310 meV per atom

***

5.
Material: YZnRe
Method: DFT, GGA-PBE
State: relaxed

Lattice parameters (Å, degrees): 4.715 4.715 2.970 90.00 90.00 120.00
Sites, in units of the cell vectors:
Re  0.000  0.000  0.833
Y  0.667  0.333  0.333
Zn  0.333  0.667  0.834

Results
Magnetic moment ... 0.0000 μB/atom
Formation energy from the elements ... 269 meV/atom
Fermi-level density of states ... 3.2 states/eV/f.u.
Excess energy over the best structure of this formula in the dataset ... 87 meV per atom

***

6.
Material: AcTe3P
Method: DFT, GGA-PBE
State: relaxed

Lattice parameters (Å, degrees): 5.352 5.352 5.352 90.00 90.00 90.00
Sites, in units of the cell vectors:
Ac  0.500  0.500  0.500
Te  0.000  0.500  0.000
P  0.000  0.000  0.000
Te  0.000  0.000  0.500
Te  0.500  0.000  0.000

Results
Magnetic moment ... 0.0000 μB/atom
Fermi-level density of states ... 3.8 states/eV/f.u.
Total DFT energy (no corrections) ... -4.305 eV/atom

***

7.
Material: SbSe2SBr
Method: DFT, GGA-PBE
State: relaxed

Lattice parameters (Å, degrees): 5.367 5.367 5.548 90.00 90.00 90.00
Each line ends with the local moment (μB).
Sites, in units of the cell vectors:
Sb  0.000  0.000  0.000  0.01
Br  0.000  0.000  0.500  0.08
Se  0.500  0.000  0.000  0.26
S  0.500  0.500  0.500  1.23
Se  0.000  0.500  0.000  0.26

Results
Magnetic moment ... 0.5835 μB/atom
Fermi-level density of states ... 4.9 states/eV/f.u.
Excess energy over the best structure of this formula in the dataset ... 240 meV per atom

***

8.
Material: InSn4Pb5
Method: DFT, GGA-PBE
State: relaxed

Lattice parameters (Å, degrees): 3.462 3.462 24.788 90.00 90.00 90.00
Sites, in units of the cell vectors:
Pb  0.500  0.500  0.699
Pb  0.500  0.500  0.500
Pb  0.500  0.500  0.301
Pb  0.500  0.500  0.101
Sn  0.000  0.000  0.599
Sn  0.000  0.000  0.401
Sn  0.000  0.000  0.801
Sn  0.000  0.000  0.199
Pb  0.500  0.500  0.899
In  0.000  0.000  0.000

Results
Magnetic moment ... 0.0000 μB/atom
Formation energy from the elements ... 48 meV/atom
Fermi-level density of states ... 7.3 states/eV/f.u.
Excess energy over the best structure of this formula in the dataset ... 14 meV per atom

***

- The highest magnetic moment belongs to which entry?
  SbSe2SBr

***

- The highest Fermi-level density of states belongs to which entry?
  InSn4Pb5